First-principles (PBE-GGA) data for a relaxed structure of Pm2Fe2Co15, as listed in the Open Quantum Materials Database.

Output
Its formation energy is -0.073 eV/atom. As for the magnetic moment: 26.8 μB/cell. For the energy, the calculation gives -7.0575 eV/atom.

POSCAR file:
```
Pm2Fe2Co15
1.0
4.172 2.409 4.034
-4.172 2.409 4.034
0.000 -4.817 4.034
Pm Fe Co
2 2 15
Direct
0.154 0.154 0.154
0.846 0.846 0.846
0.402 0.402 0.402
0.598 0.598 0.598
0.000 0.500 0.500
0.156 0.156 0.650
0.156 0.650 0.156
0.214 0.500 0.786
0.214 0.786 0.500
0.350 0.844 0.844
0.500 0.000 0.500
0.500 0.214 0.786
0.500 0.500 0.000
0.500 0.786 0.214
0.650 0.156 0.156
0.786 0.214 0.500
0.786 0.500 0.214
0.844 0.350 0.844
0.844 0.844 0.350
```